The following is a DFT calculation (PBE) of crystalline ScTlRu2 at its relaxed geometry.

a = 5.2103 Å, b = 5.2103 Å, c = 5.2103 Å
α = 135.32°, β = 135.32°, γ = 65.03°
Closest atoms and distances in Å follow each position.
Atoms (fractional coordinates):
Ru  0.0000  0.0000  0.0000  4 Sc 2.80, 4 Tl 2.96, 4 Ru 2.96
Ru  0.2500  0.7500  0.5000  4 Tl 2.80, 4 Sc 2.96, 4 Ru 2.96
Sc  0.5000  0.5000  0.0000  8 Ru 2.80-2.96, 4 Tl 2.96
Tl  0.7500  0.2500  0.5000  8 Ru 2.80-2.96, 4 Sc 2.96

Computed properties:
SG: I-4m2 (119)
Magnetization (Bohr magnetons per cell): 0.4
E_form (eV per atom): 0.0734